No. 1
! Ca2ErPaP4, relaxed, DFT PBE; values from VASP
&SYSTEM
  ibrav = 0, nat = 8, ntyp = 4
/
ATOMIC_SPECIES
Ca 40.08 Ca.upf
Er 167.26 Er.upf
Pa 231.04 Pa.upf
P 30.97 P.upf
CELL_PARAMETERS angstrom
4.085 0.000 0.000
0.000 6.982 0.120
0.000 -2.440 6.614
ATOMIC_POSITIONS crystal
Ca 0.500 0.000 0.500
Ca 0.000 0.500 0.500
Er 0.500 0.500 0.000
Pa 0.000 0.000 0.000
P 0.500 0.238 0.229
P 0.500 0.762 0.771
P 0.000 0.249 0.770
P 0.000 0.751 0.230
! Total energy ... -50.4 eV/cell
! ΔH_f (0 K) ... -1.34 eV per atom
! Crystal system ... monoclinic
! Total magnetic moment ... 0.00 μB per cell

=====

No. 2
! CaErP2Pd5, relaxed, DFT PBE; values from VASP
&SYSTEM
  ibrav = 0, nat = 9, ntyp = 4
/
ATOMIC_SPECIES
Ca 40.08 Ca.upf
Er 167.26 Er.upf
P 30.97 P.upf
Pd 106.42 Pd.upf
CELL_PARAMETERS angstrom
-2.805 -1.681 2.590
2.819 0.035 3.075
-2.651 8.026 2.338
ATOMIC_POSITIONS crystal
Ca 0.000 0.000 0.500
Er 0.000 0.000 0.000
P 0.500 0.500 0.126
P 0.500 0.500 0.874
Pd 0.000 0.500 0.257
Pd 0.500 0.000 0.257
Pd 0.000 0.500 0.743
Pd 0.500 0.000 0.743
Pd 0.500 0.500 0.500
! Total energy ... -51.0 eV/cell
! ΔH_f (0 K) ... -0.85 eV per atom
! Crystal system ... tetragonal
! Total magnetic moment ... 0.00 μB per cell

=====

No. 3
! Ca2ErP3Pt12, relaxed, DFT PBE; values from VASP
&SYSTEM
  ibrav = 0, nat = 18, ntyp = 4
/
ATOMIC_SPECIES
Ca 40.08 Ca.upf
Er 167.26 Er.upf
P 30.97 P.upf
Pt 195.08 Pt.upf
CELL_PARAMETERS angstrom
7.567 -0.423 -0.300
3.369 6.789 -0.300
3.369 1.961 6.507
ATOMIC_POSITIONS crystal
Ca 0.596 0.596 0.596
Ca 0.404 0.404 0.404
Er 0.000 0.000 0.000
P 0.500 0.000 0.000
P 0.000 0.500 0.000
P 0.000 0.000 0.500
Pt 0.340 0.340 0.900
Pt 0.857 0.857 0.396
Pt 0.396 0.857 0.857
Pt 0.900 0.340 0.340
Pt 0.857 0.396 0.857
Pt 0.340 0.900 0.340
Pt 0.660 0.660 0.100
Pt 0.143 0.143 0.604
Pt 0.604 0.143 0.143
Pt 0.100 0.660 0.660
Pt 0.143 0.604 0.143
Pt 0.660 0.100 0.660
! Total energy ... -105.0 eV/cell
! ΔH_f (0 K) ... -0.43 eV per atom
! Crystal system ... trigonal
! Total magnetic moment ... 0.00 μB per cell

=====

No. 4
! CaEr2PuP4, relaxed, DFT PBE; values from VASP
&SYSTEM
  ibrav = 0, nat = 8, ntyp = 4
/
ATOMIC_SPECIES
Ca 40.08 Ca.upf
Er 167.26 Er.upf
Pu 244.00 Pu.upf
P 30.97 P.upf
CELL_PARAMETERS angstrom
-0.733 -3.739 1.266
5.822 0.119 3.721
-5.232 2.343 3.893
ATOMIC_POSITIONS crystal
Ca 0.500 0.500 0.000
Er 0.500 0.000 0.500
Er 0.000 0.500 0.500
Pu 0.000 0.000 0.000
P 0.500 0.243 0.251
P 0.500 0.757 0.749
P 0.000 0.238 0.745
P 0.000 0.762 0.255
! Total energy ... -57.6 eV/cell
! ΔH_f (0 K) ... -1.31 eV per atom
! Crystal system ... monoclinic
! Total magnetic moment ... 4.07 μB per cell

=====

No. 5
! CaErP2Rh5, relaxed, DFT PBE; values from VASP
&SYSTEM
  ibrav = 0, nat = 9, ntyp = 4
/
ATOMIC_SPECIES
Ca 40.08 Ca.upf
Er 167.26 Er.upf
P 30.97 P.upf
Rh 102.91 Rh.upf
CELL_PARAMETERS angstrom
-1.145 -3.426 1.757
3.847 -1.093 0.375
0.426 4.812 9.657
ATOMIC_POSITIONS crystal
Ca 0.000 0.000 0.500
Er 0.000 0.000 0.000
P 0.500 0.500 0.292
P 0.500 0.500 0.708
Rh 0.000 0.500 0.193
Rh 0.500 0.000 0.193
Rh 0.000 0.500 0.807
Rh 0.500 0.000 0.807
Rh 0.500 0.500 0.500
! Total energy ... -60.1 eV/cell
! ΔH_f (0 K) ... -0.66 eV per atom
! Crystal system ... tetragonal
! Total magnetic moment ... 0.00 μB per cell

=====

No. 6
! Ca3Er2TaP6, relaxed, DFT PBE; values from VASP
&SYSTEM
  ibrav = 0, nat = 12, ntyp = 4
/
ATOMIC_SPECIES
Ca 40.08 Ca.upf
Er 167.26 Er.upf
Ta 180.95 Ta.upf
P 30.97 P.upf
CELL_PARAMETERS angstrom
6.789 -0.003 -0.004
-3.395 5.879 -0.004
-1.136 -1.967 6.636
ATOMIC_POSITIONS crystal
Ca 0.171 0.829 0.500
Ca 0.829 0.171 0.500
Ca 0.500 0.500 0.500
Er 0.334 0.666 0.000
Er 0.666 0.334 0.000
Ta 0.000 0.000 0.000
P 0.925 0.613 0.774
P 0.765 0.765 0.227
P 0.075 0.387 0.226
P 0.613 0.925 0.774
P 0.235 0.235 0.773
P 0.387 0.075 0.226
! Total energy ... -73.3 eV/cell
! ΔH_f (0 K) ... -1.15 eV per atom
! Crystal system ... monoclinic
! Total magnetic moment ... 0.00 μB per cell

=====

No. 7
! Ca2ErThP4, relaxed, DFT PBE; values from VASP
&SYSTEM
  ibrav = 0, nat = 8, ntyp = 4
/
ATOMIC_SPECIES
Ca 40.08 Ca.upf
Er 167.26 Er.upf
Th 232.04 Th.upf
P 30.97 P.upf
CELL_PARAMETERS angstrom
4.137 0.000 0.000
0.000 7.097 0.109
0.000 -2.492 6.671
ATOMIC_POSITIONS crystal
Ca 0.500 0.000 0.500
Ca 0.000 0.500 0.500
Er 0.500 0.500 0.000
Th 0.000 0.000 0.000
P 0.500 0.251 0.239
P 0.500 0.749 0.761
P 0.000 0.259 0.764
P 0.000 0.741 0.236
! Total energy ... -47.9 eV/cell
! ΔH_f (0 K) ... -1.29 eV per atom
! Crystal system ... monoclinic
! Total magnetic moment ... 0.00 μB per cell

=====

No. 8
! Ca2ErUP4, relaxed, DFT PBE; values from VASP
&SYSTEM
  ibrav = 0, nat = 8, ntyp = 4
/
ATOMIC_SPECIES
Ca 40.08 Ca.upf
Er 167.26 Er.upf
U 238.03 U.upf
P 30.97 P.upf
CELL_PARAMETERS angstrom
4.053 0.000 0.000
0.000 6.953 0.126
0.000 -2.423 6.600
ATOMIC_POSITIONS crystal
Ca 0.500 0.000 0.500
Ca 0.000 0.500 0.500
Er 0.500 0.500 0.000
U 0.000 0.000 0.000
P 0.500 0.235 0.226
P 0.500 0.765 0.774
P 0.000 0.246 0.772
P 0.000 0.754 0.228
! Total energy ... -51.2 eV/cell
! ΔH_f (0 K) ... -1.22 eV per atom
! Crystal system ... monoclinic
! Total magnetic moment ... 1.00 μB per cell

=====

No. 9
! CaEr2UP4, relaxed, DFT PBE; values from VASP
&SYSTEM
  ibrav = 0, nat = 8, ntyp = 4
/
ATOMIC_SPECIES
Ca 40.08 Ca.upf
Er 167.26 Er.upf
U 238.03 U.upf
P 30.97 P.upf
CELL_PARAMETERS angstrom
-2.128 1.052 3.199
2.523 -5.421 3.460
4.158 5.421 0.983
ATOMIC_POSITIONS crystal
Ca 0.500 0.500 0.000
Er 0.500 0.000 0.500
Er 0.000 0.500 0.500
U 0.000 0.000 0.000
P 0.500 0.243 0.249
P 0.500 0.757 0.751
P 0.000 0.236 0.749
P 0.000 0.764 0.251
! Total energy ... -54.6 eV/cell
! ΔH_f (0 K) ... -1.32 eV per atom
! Crystal system ... monoclinic
! Total magnetic moment ... 1.81 μB per cell

=====

No. 10
! Ca3Er2UP6, relaxed, DFT PBE; values from VASP
&SYSTEM
  ibrav = 0, nat = 12, ntyp = 4
/
ATOMIC_SPECIES
Ca 40.08 Ca.upf
Er 167.26 Er.upf
U 238.03 U.upf
P 30.97 P.upf
CELL_PARAMETERS angstrom
6.963 -0.001 0.000
-3.480 6.031 0.000
-1.162 -2.012 6.652
ATOMIC_POSITIONS crystal
Ca 0.170 0.830 0.500
Ca 0.830 0.170 0.500
Ca 0.500 0.500 0.500
Er 0.334 0.666 0.000
Er 0.666 0.334 0.000
U 0.000 0.000 0.000
P 0.924 0.605 0.772
P 0.757 0.757 0.227
P 0.076 0.395 0.228
P 0.605 0.924 0.772
P 0.243 0.243 0.773
P 0.395 0.076 0.228
! Total energy ... -74.2 eV/cell
! ΔH_f (0 K) ... -1.28 eV per atom
! Crystal system ... monoclinic
! Total magnetic moment ... 0.00 μB per cell

=====

No. 11
! CaEr2Pa, relaxed, DFT PBE; values from VASP
&SYSTEM
  ibrav = 0, nat = 4, ntyp = 3
/
ATOMIC_SPECIES
Ca 40.08 Ca.upf
Pa 231.04 Pa.upf
Er 167.26 Er.upf
CELL_PARAMETERS angstrom
-0.052 -3.421 -0.694
1.972 -0.601 2.818
-8.429 -1.025 5.682
ATOMIC_POSITIONS crystal
Ca 0.500 0.500 0.500
Pa 0.500 0.500 0.000
Er 0.000 0.000 0.782
Er 0.000 0.000 0.218
! Total energy ... -20.1 eV/cell
! ΔH_f (0 K) ... 0.14 eV per atom
! Crystal system ... tetragonal
! Polymorph energy (0 for the lowest one) ... 0 meV per atom
! Total magnetic moment ... 0.00 μB per cell

=====

No. 12
! CaEr2Pa, relaxed, DFT PBE; values from VASP
&SYSTEM
  ibrav = 0, nat = 4, ntyp = 3
/
ATOMIC_SPECIES
Ca 40.08 Ca.upf
Pa 231.04 Pa.upf
Er 167.26 Er.upf
CELL_PARAMETERS angstrom
-0.938 -0.909 3.186
1.359 -2.807 1.460
9.064 5.441 6.081
ATOMIC_POSITIONS crystal
Ca 0.000 0.000 0.000
Pa 0.500 0.500 0.500
Er 0.093 0.093 0.722
Er 0.907 0.907 0.278
! Total energy ... -19.7 eV/cell
! ΔH_f (0 K) ... 0.22 eV per atom
! Crystal system ... trigonal
! Polymorph energy (0 for the lowest one) ... 79 meV per atom
! Total magnetic moment ... 0.00 μB per cell

=====

No. 13
! Ca2ErPaS6, relaxed, DFT PBE; values from VASP
&SYSTEM
  ibrav = 0, nat = 10, ntyp = 4
/
ATOMIC_SPECIES
Ca 40.08 Ca.upf
Er 167.26 Er.upf
Pa 231.04 Pa.upf
S 32.06 S.upf
CELL_PARAMETERS angstrom
6.975 0.000 0.000
3.487 6.041 0.000
3.487 2.014 6.153
ATOMIC_POSITIONS crystal
Ca 0.525 0.525 0.426
Ca 0.021 0.021 0.937
Er 0.818 0.818 0.546
Pa 0.322 0.321 0.035
S 0.593 0.195 0.260
S 0.195 0.952 0.260
S 0.952 0.593 0.260
S 0.440 0.694 0.763
S 0.694 0.103 0.763
S 0.103 0.440 0.763
! Total energy ... -61.8 eV/cell
! Crystal system ... trigonal
! ΔE_f (raw) ... -1899 meV per atom
! Total magnetic moment ... 0.00 μB per cell

=====

No. 14
! Ca2ErPb, relaxed, DFT PBE; values from VASP
&SYSTEM
  ibrav = 0, nat = 4, ntyp = 3
/
ATOMIC_SPECIES
Pb 207.20 Pb.upf
Ca 40.08 Ca.upf
Er 167.26 Er.upf
CELL_PARAMETERS angstrom
3.629 0.000 0.000
1.814 3.143 0.000
1.814 1.048 12.475
ATOMIC_POSITIONS crystal
Pb 0.000 0.000 0.000
Ca 0.087 0.087 0.739
Ca 0.913 0.913 0.261
Er 0.500 0.500 0.500
! Total energy ... -12.0 eV/cell
! ΔH_f (0 K) ... 0.07 eV per atom
! Crystal system ... trigonal
! Polymorph energy (0 for the lowest one) ... 342 meV per atom
! Total magnetic moment ... 0.00 μB per cell

=====

No. 15
! CaEr2Pb9, relaxed, DFT PBE; values from VASP
&SYSTEM
  ibrav = 0, nat = 12, ntyp = 3
/
ATOMIC_SPECIES
Ca 40.08 Ca.upf
Er 167.26 Er.upf
Pb 207.20 Pb.upf
CELL_PARAMETERS angstrom
4.943 0.000 0.000
0.000 4.943 0.000
0.000 0.000 14.345
ATOMIC_POSITIONS crystal
Ca 0.000 0.000 0.000
Er 0.000 0.000 0.338
Er 0.000 0.000 0.662
Pb 0.500 0.500 0.000
Pb 0.500 0.500 0.335
Pb 0.500 0.500 0.665
Pb 0.500 0.000 0.170
Pb 0.500 0.000 0.500
Pb 0.500 0.000 0.830
Pb 0.000 0.500 0.170
Pb 0.000 0.500 0.500
Pb 0.000 0.500 0.830
! Total energy ... -47.8 eV/cell
! ΔH_f (0 K) ... -0.27 eV per atom
! Crystal system ... tetragonal
! Total magnetic moment ... 0.00 μB per cell

=====

No. 16
! Ca2ErPb, relaxed, DFT PBE; values from VASP
&SYSTEM
  ibrav = 0, nat = 4, ntyp = 3
/
ATOMIC_SPECIES
Pb 207.20 Pb.upf
Ca 40.08 Ca.upf
Er 167.26 Er.upf
CELL_PARAMETERS angstrom
-4.851 1.149 -1.232
-0.725 -4.628 -1.459
-1.437 -1.204 4.534
ATOMIC_POSITIONS crystal
Pb 0.500 0.500 0.500
Ca 0.000 0.000 0.500
Ca 0.000 0.500 0.000
Er 0.500 0.000 0.000
! Total energy ... -13.3 eV/cell
! ΔH_f (0 K) ... -0.27 eV per atom
! Crystal system ... tetragonal
! Polymorph energy (0 for the lowest one) ... 0 meV per atom
! Total magnetic moment ... 0.00 μB per cell

=====

No. 17
! CaErPb, relaxed, DFT PBE; values from VASP
&SYSTEM
  ibrav = 0, nat = 6, ntyp = 3
/
ATOMIC_SPECIES
Er 167.26 Er.upf
Pb 207.20 Pb.upf
Ca 40.08 Ca.upf
CELL_PARAMETERS angstrom
5.178 0.000 0.000
0.000 5.178 0.000
0.000 0.000 7.694
ATOMIC_POSITIONS crystal
Er 0.000 0.500 0.761
Er 0.500 0.000 0.239
Pb 0.500 0.500 0.000
Pb 0.000 0.000 0.000
Ca 0.500 0.000 0.699
Ca 0.000 0.500 0.301
! Total energy ... -21.0 eV/cell
! ΔH_f (0 K) ... -0.08 eV per atom
! Crystal system ... tetragonal
! Total magnetic moment ... 0.00 μB per cell

=====

No. 18
! CaEr3Pb2, relaxed, DFT PBE; values from VASP
&SYSTEM
  ibrav = 0, nat = 12, ntyp = 3
/
ATOMIC_SPECIES
Ca 40.08 Ca.upf
Er 167.26 Er.upf
Pb 207.20 Pb.upf
CELL_PARAMETERS angstrom
-1.324 -4.469 0.522
9.085 0.400 5.399
-8.395 2.876 3.339
ATOMIC_POSITIONS crystal
Ca 0.889 0.778 0.902
Ca 0.111 0.222 0.098
Er 0.306 0.613 0.500
Er 0.942 0.885 0.572
Er 0.643 0.287 0.800
Er 0.357 0.713 0.200
Er 0.058 0.115 0.428
Er 0.694 0.387 0.500
Pb 0.493 0.985 0.823
Pb 0.507 0.015 0.177
Pb 0.756 0.512 0.224
Pb 0.244 0.488 0.776
! Total energy ... -49.6 eV/cell
! ΔH_f (0 K) ... -0.28 eV per atom
! Crystal system ... monoclinic
! Total magnetic moment ... 2.30 μB per cell

=====

No. 19
! CaEr4Pb4, relaxed, DFT PBE; values from VASP
&SYSTEM
  ibrav = 0, nat = 18, ntyp = 3
/
ATOMIC_SPECIES
Ca 40.08 Ca.upf
Er 167.26 Er.upf
Pb 207.20 Pb.upf
CELL_PARAMETERS angstrom
6.165 0.000 0.000
0.000 10.099 0.000
0.000 0.000 10.099
ATOMIC_POSITIONS crystal
Ca 0.000 0.000 0.000
Ca 0.500 0.500 0.500
Er 0.403 0.358 0.891
Er 0.903 0.609 0.858
Er 0.403 0.642 0.109
Er 0.097 0.142 0.609
Er 0.597 0.891 0.642
Er 0.097 0.858 0.391
Er 0.903 0.391 0.142
Er 0.597 0.109 0.358
Pb 0.581 0.796 0.354
Pb 0.581 0.204 0.646
Pb 0.081 0.854 0.704
Pb 0.919 0.296 0.854
Pb 0.919 0.704 0.146
Pb 0.419 0.354 0.204
Pb 0.419 0.646 0.796
Pb 0.081 0.146 0.296
! Total energy ... -74.9 eV/cell
! ΔH_f (0 K) ... -0.26 eV per atom
! Crystal system ... tetragonal
! Total magnetic moment ... 0.00 μB per cell

=====

No. 20
! CaErPb, relaxed, DFT PBE; values from VASP
&SYSTEM
  ibrav = 0, nat = 3, ntyp = 3
/
ATOMIC_SPECIES
Pb 207.20 Pb.upf
Ca 40.08 Ca.upf
Er 167.26 Er.upf
CELL_PARAMETERS angstrom
-4.875 1.494 -1.192
-4.093 -2.562 2.025
-2.994 2.300 3.628
ATOMIC_POSITIONS crystal
Pb 0.250 0.250 0.250
Ca 0.000 0.000 0.000
Er 0.500 0.500 0.500
! Total energy ... -11.1 eV/cell
! ΔH_f (0 K) ... -0.28 eV per atom
! Crystal system ... cubic
! Total magnetic moment ... 0.00 μB per cell